## MnGa (SCAN)

Data for MnGa at its PBEsol-relaxed geometry.

```
MnGa
1.0
2.669 0.000 0.000
0.000 2.669 0.000
0.000 0.000 3.570
Mn Ga
1 1
direct
0.000 0.000 0.000 Mn
0.500 0.500 0.500 Ga
```

theoretical density	8.1	Mg/m³
calculated formation energy	-0.31	eV/atom


## SrSbSe2F (SCAN)

Data for SrSbSe2F at its PBEsol-relaxed geometry.

```
SrSbSe2F
1.0
-3.593 -0.861 1.683
1.832 -2.474 2.647
1.634 10.911 9.069
Sb Sr Se F
2 2 4 2
direct
0.500 0.000 0.129 Sb
0.000 0.500 0.871 Sb
0.500 0.000 0.600 Sr
0.000 0.500 0.400 Sr
0.500 0.000 0.307 Se
0.000 0.500 0.106 Se
0.000 0.500 0.693 Se
0.500 0.000 0.894 Se
0.500 0.500 0.500 F
0.000 0.000 0.500 F
```

theoretical density	5.4	Mg/m³
formation energy (no corrections)	-1861	meV/atom


## KCoS2 (SCAN)

Data for KCoS2 at its PBEsol-relaxed geometry.

```
KCoS2
1.0
6.016 0.047 0.076
-2.262 5.575 -0.076
-2.262 -2.554 4.956
Co K S
2 2 4
direct
0.500 0.750 0.250 Co
0.000 0.000 0.000 Co
0.000 0.500 0.500 K
0.500 0.250 0.750 K
0.376 0.375 0.251 S
0.124 0.749 0.125 S
0.876 0.001 0.625 S
0.624 0.875 0.999 S
```

theoretical density	3.2	Mg/m³
formation energy (no corrections)	-722	meV/atom


## Ca2NiPb (SCAN)

Data for Ca2NiPb at its PBEsol-relaxed geometry.

```
Ca2NiPb
1.0
-2.925 2.382 -0.238
-3.127 -3.900 -0.610
-0.630 -0.276 4.989
Ni Ca Pb
1 2 1
direct
0.500 0.000 0.000 Ni
0.000 0.500 0.000 Ca
0.000 0.000 0.500 Ca
0.500 0.500 0.500 Pb
```

theoretical density	6.0	Mg/m³
calculated formation energy	-0.22	eV/atom


## InBRh2Br (SCAN)

Data for InBRh2Br at its PBEsol-relaxed geometry.

```
InBRh2Br
1.0
4.169 0.000 0.000
0.000 4.169 0.000
0.000 0.000 4.545
Br Rh B In
1 2 1 1
direct
0.000 0.000 0.500 Br
0.000 0.500 0.000 Rh
0.500 0.000 0.000 Rh
0.000 0.000 0.000 B
0.500 0.500 0.500 In
```

theoretical density	8.6	Mg/m³
formation energy (no corrections)	452	meV/atom


## CoTeRh2 (SCAN)

Data for CoTeRh2 at its PBEsol-relaxed geometry.

```
CoTeRh2
1.0
-0.802 -0.509 2.833
2.438 -2.740 0.198
3.784 3.488 1.697
Te Rh Co
1 2 1
direct
0.000 0.000 0.490 Te
0.500 0.500 0.255 Rh
0.000 0.000 0.971 Rh
0.500 0.500 0.784 Co
```

theoretical density	11.0	Mg/m³
formation energy (no corrections)	97	meV/atom